[1]
Here is a relaxed CuReAu2 crystal from the Alexandria database. Energies are from PBE.

Properties
Density of states at the Fermi level: 1.9 states/eV/f.u.
Energy relative to the lowest polymorph listed for this composition: 325 meV/atom
Energy of formation: 0.6153 eV/atom
DFT total energy: -5.159 eV/atom

abc: 6.3680 6.3680 6.3680
angles: 90.00 90.00 90.00
Atoms (fractional coordinates):
1 Cu 0.0000 0.0000 0.0000
2 Cu 0.0000 0.5000 0.5000
3 Cu 0.5000 0.0000 0.5000
4 Cu 0.5000 0.5000 0.0000
5 Re 0.0000 0.0000 0.5000
6 Re 0.0000 0.5000 0.0000
7 Re 0.5000 0.0000 0.0000
8 Re 0.5000 0.5000 0.5000
9 Au 0.2500 0.2500 0.2500
10 Au 0.2500 0.2500 0.7500
11 Au 0.2500 0.7500 0.2500
12 Au 0.2500 0.7500 0.7500
13 Au 0.7500 0.2500 0.2500
14 Au 0.7500 0.2500 0.7500
15 Au 0.7500 0.7500 0.2500
16 Au 0.7500 0.7500 0.7500



[2]
Here is a relaxed CuReAu2 crystal from the Alexandria database. Energies are from PBE.

Properties
Density of states at the Fermi level: 4.5 states/eV/f.u.
Energy relative to the lowest polymorph listed for this composition: 370 meV/atom
Energy of formation: 0.6603 eV/atom
DFT total energy: -5.114 eV/atom

abc: 6.3506 6.3506 6.3506
angles: 90.00 90.00 90.00
Atoms (fractional coordinates):
1 Cu 0.0000 0.0000 0.0000
2 Cu 0.0000 0.5000 0.5000
3 Cu 0.5000 0.0000 0.5000
4 Cu 0.5000 0.5000 0.0000
5 Re 0.2500 0.2500 0.7500
6 Re 0.2500 0.7500 0.2500
7 Re 0.7500 0.2500 0.2500
8 Re 0.7500 0.7500 0.7500
9 Au 0.0000 0.0000 0.5000
10 Au 0.0000 0.5000 0.0000
11 Au 0.2500 0.2500 0.2500
12 Au 0.2500 0.7500 0.7500
13 Au 0.5000 0.0000 0.0000
14 Au 0.5000 0.5000 0.5000
15 Au 0.7500 0.2500 0.7500
16 Au 0.7500 0.7500 0.2500



[3]
Here is a relaxed CuReAu crystal from the Alexandria database. Energies are from PBE.

Properties
Density of states at the Fermi level: 1.9 states/eV/f.u.
Energy relative to the lowest polymorph listed for this composition: 0 meV/atom
Energy of formation: 0.3260 eV/atom
DFT total energy: -6.281 eV/atom

abc: 2.7694 2.7694 6.8145
angles: 90.00 90.00 120.00
Atoms (fractional coordinates):
1 Cu 0.0000 0.0000 0.0000
2 Re 0.6667 0.3333 0.3119
3 Au 0.3333 0.6667 0.6689



- The highest energy relative to the lowest polymorph listed for this composition belongs to which entry?
  number 2



- Which of these has the highest energy of formation?
  number 2



- DFT total energy of number 3 (CuReAu)?
  -6.281 eV/atom



- energy of formation of number 2 (CuReAu2)?
  0.6603 eV/atom